Record 1
A relaxed Ge3PdBr crystal. Source: Alexandria, functional GGA-PBEsol.

The structure in POSCAR format:
```
Ge3PdBr
1.0
-1.7436 2.8691 -3.6688
-1.6156 -4.0468 -2.3969
-4.3683 0.3515 2.3509
Ge Pd Br
3 1 1
Direct
0.0000 0.5000 0.0000 Ge
0.0000 0.0000 0.5000 Ge
0.5000 0.0000 0.0000 Ge
0.5000 0.5000 0.5000 Pd
0.0000 0.0000 0.0000 Br
```

## Properties
Density of states at the Fermi level ... 2.76 states/eV per cell
Calculated total energy ... -3.3890 eV per atom
Mass density ... 5.458 Mg/m³

***

Record 2
A relaxed AlSbPt2 crystal. Source: Alexandria, functional GGA-PBEsol.

The structure in POSCAR format:
```
AlSbPt2
1.0
-2.7512 -1.8048 0.1524
1.9837 -3.2098 -2.1905
1.4786 -1.9050 4.1305
Pt Al Sb
2 1 1
Direct
0.6248 0.7414 0.5000 Pt
0.1252 0.0149 0.0000 Pt
0.1249 0.2478 0.5000 Al
0.6251 0.4960 0.0000 Sb
```

## Properties
Density of states at the Fermi level ... 1.16 states/eV per cell
Calculated total energy ... -6.0924 eV per atom
Mass density ... 13.019 Mg/m³
Relative energy among the computed polymorphs ... 19 meV/atom

***

Record 3
A relaxed MgCr3Mo crystal. Source: Alexandria, functional GGA-PBEsol.

The structure in POSCAR format:
```
MgCr3Mo
1.0
4.3416 0.0000 0.0000
0.0000 4.3416 0.0000
0.0000 0.0000 4.3416
Mo Cr Mg
1 3 1
Direct
0.5000 0.5000 0.5000 Mo
0.0000 0.0000 0.5000 Cr
0.5000 0.0000 0.0000 Cr
0.0000 0.5000 0.0000 Cr
0.0000 0.0000 0.0000 Mg
```

## Properties
Density of states at the Fermi level ... 5.22 states/eV per cell
Calculated total energy ... -6.6084 eV per atom
Energy relative to the elements ... 215.5 kJ per mole of atoms
Mass density ... 5.605 Mg/m³

***

Record 4
A relaxed LaCd2Ag crystal. Source: Alexandria, functional GGA-PBEsol.

The structure in POSCAR format:
```
LaCd2Ag
1.0
-2.2286 -0.7193 4.4943
-0.1895 -4.6394 2.0208
2.8031 -1.1027 4.0707
Cd La Ag
2 1 1
Direct
0.2500 0.2500 0.2500 Cd
0.9998 0.0002 0.0002 Cd
0.5000 0.5000 0.5000 La
0.7502 0.7498 0.7498 Ag
```

## Properties
Density of states at the Fermi level ... 2.18 states/eV per cell
Calculated total energy ... -3.0714 eV per atom
Energy relative to the elements ... -29.8 kJ per mole of atoms
Mass density ... 8.523 Mg/m³

***

Record 5
A relaxed Mo2RhSe crystal. Source: Alexandria, functional GGA-PBEsol.

The structure in POSCAR format:
```
Mo2RhSe
1.0
-2.8061 -1.0258 0.3325
0.8962 -3.3487 -2.7683
2.2724 -0.3022 4.6558
Se Rh Mo
1 1 2
Direct
0.0000 0.5000 0.0000 Se
0.5000 0.0000 0.0000 Rh
0.2749 0.2749 0.5499 Mo
0.7251 0.7251 0.4501 Mo
```

## Properties
Density of states at the Fermi level ... 2.93 states/eV per cell
Calculated total energy ... -8.8050 eV per atom
Mass density ... 10.471 Mg/m³

***

Record 6
A relaxed TaTlCd crystal. Source: Alexandria, functional GGA-PBEsol.

The structure in POSCAR format:
```
TaTlCd
1.0
-1.6054 1.2721 -2.1256
0.0759 -3.3956 -2.0895
-3.5851 -0.4868 4.4660
Tl Cd Ta
1 1 1
Direct
0.3313 0.3313 0.6625 Tl
0.0068 0.0068 0.0136 Cd
0.6619 0.6619 0.3239 Ta
```

## Properties
Density of states at the Fermi level ... 2.03 states/eV per cell
Calculated total energy ... -4.8669 eV per atom
Energy relative to the elements ... 57.2 kJ per mole of atoms
Mass density ... 13.543 Mg/m³